VASP calculation (PBE) on an optimized crystal structure of KBaBe2.

## Properties
Space group ... No. 25
ΔH_f (0 K) ... 738 meV/atom

Unit cell a=3.220 b=3.419 c=10.008 alpha=90.00 beta=90.00 gamma=90.00
Fractional positions:
K 0.000 0.000 0.000
Ba 0.500 0.500 0.586
Be 0.000 0.000 0.326
Be 0.500 0.500 0.274

***

VASP calculation (PBE) on an optimized crystal structure of KBaBe2.

## Properties
Space group ... No. 8
ΔH_f (0 K) ... 532 meV/atom

Unit cell a=4.200 b=4.200 c=9.321 alpha=103.06 beta=103.06 gamma=60.06
Fractional positions:
K 0.000 0.000 0.000
Ba 0.168 0.168 0.503
Be 0.424 0.424 0.272
Be 0.757 0.757 0.272

***

VASP calculation (PBE) on an optimized crystal structure of KBaBe2.

## Properties
Space group ... No. 47
ΔH_f (0 K) ... 816 meV/atom

Unit cell a=4.040 b=4.562 c=7.841 alpha=90.00 beta=90.00 gamma=90.00
Fractional positions:
K 0.000 0.000 0.000
Ba 0.000 0.000 0.500
Be 0.500 0.500 0.361
Be 0.500 0.500 0.639

***

Number 1: energy relative to the lowest polymorph listed for this composition 0.2063 eV per atom. Number 2: energy relative to the lowest polymorph listed for this composition 0.0000 eV per atom. Number 3: energy relative to the lowest polymorph listed for this composition 0.2837 eV per atom.